20
Lattice="-1.926 -1.035 6.787 3.117 -6.032 -2.179 5.072 5.011 0.059" Properties=species:S:1:pos:R:3 comment="Li4Pu3TlO12, relaxed, DFT GGA-PBE" sg="R32 (155)" formation_energy_uncorrected_ev_per_atom=-2.174 rho_g_cm3=6.3 pbc="T T T"
Li 2.280 -5.835 1.359
Li 6.178 1.605 -0.595
Li 0.936 1.148 6.237
Li 3.132 -1.028 2.334
Pu 0.283 -3.223 2.861
Pu 2.008 2.364 3.006
Pu 3.973 -1.196 -1.199
O 3.976 -1.864 0.833
O 3.459 0.821 2.708
O 0.378 -3.407 4.981
O 0.861 -0.736 5.912
O 3.901 3.318 3.214
O 5.115 -2.994 -1.194
O 3.603 -4.802 0.442
O 5.473 2.277 1.051
O 1.933 2.119 4.924
O 5.605 -0.172 -1.012
O 1.314 -4.851 2.685
O 1.960 -2.040 3.460
Tl 0.000 0.000 0.000

***

5
Lattice="-0.248 -1.512 -5.527 5.553 1.299 -0.605 0.921 -3.511 0.919" Properties=species:S:1:pos:R:3 comment="SbTe2SeN, relaxed, DFT GGA-PBE" sg="P4/mmm (123)" formation_energy_uncorrected_ev_per_atom=0.863 rho_g_cm3=6.3 e_above_lowest_polymorph_mev_per_atom=85.7 pbc="T T T"
Se 0.000 0.000 0.000
Te -0.124 -0.756 -2.763
Te 2.777 0.649 -0.302
N 0.461 -1.755 0.460
Sb 3.113 -1.862 -2.606

***

22
Lattice="2.762 6.205 -7.889 -8.517 -2.637 5.373 5.370 11.090 3.441" Properties=species:S:1:pos:R:3 comment="Pr7Y3Tm, relaxed, DFT GGA-PBE" sg="C2/c (15)" e_form_mev_per_atom=185 rho_g_cm3=5.9 e_above_lowest_polymorph_mev_per_atom=0.0 pbc="T T T"
Pr -6.027 1.451 0.390
Pr -2.659 5.253 -0.889
Pr 2.971 7.627 -1.226
Pr -2.818 6.801 5.794
Pr 0.135 9.411 -2.419
Pr -0.520 5.247 3.344
Pr 2.433 7.857 -4.869
Pr 2.274 9.405 1.814
Pr 2.812 14.935 -0.749
Pr 5.642 13.206 0.536
Pr -3.197 -0.277 1.674
Pr -5.544 1.281 4.056
Pr 5.158 13.376 -3.130
Pr -3.356 7.031 2.152
Y 0.271 5.841 -2.765
Y -3.373 3.292 1.955
Y 0.000 0.000 0.000
Y -3.070 9.113 -0.795
Y 2.988 11.366 -1.030
Y -0.656 8.817 3.690
Tm 2.493 12.874 2.183
Tm -0.193 7.329 0.463

***

4
Lattice="4.624 0.000 0.000 0.000 4.650 0.000 0.000 0.000 4.650" Properties=species:S:1:pos:R:3 comment="ZrPaTl2, relaxed, DFT GGA-PBE" sg="P4/mmm (123)" e_form_mev_per_atom=146 rho_g_cm3=12.1 e_above_lowest_polymorph_mev_per_atom=64.3 pbc="T T T"
Tl 0.000 0.000 2.325
Tl 0.000 2.325 0.000
Pa 2.312 0.000 0.000
Zr 2.312 2.325 2.325